Entry 1:
A relaxed Zr2ScW crystal. Source: Alexandria via LeMat-Bulk, functional PBE.

The structure in extended XYZ format:
```
4
Lattice="4.787 0.000 0.000 0.000 4.787 0.000 0.000 0.000 3.588" Properties=species:S:1:pos:R:3 pbc="T T T"
Zr 0.000 2.393 0.000
Zr 2.393 0.000 0.000
Sc 0.000 0.000 1.794
W 2.393 2.393 1.794
```

Computed properties:
**Energy of formation**: 0.19 eV per atom
**Total magnetic moment**: 0.0 μB/f.u.
**Energy above the lowest structure with this stoichiometry**: 62 meV per atom
**Total energy**: -8.9041 eV per atom


Entry 2:
A relaxed BaCaY3 crystal. Source: Alexandria via LeMat-Bulk, functional PBE.

The structure in extended XYZ format:
```
5
Lattice="5.817 0.000 0.000 0.000 5.817 0.000 0.000 0.000 5.817" Properties=species:S:1:pos:R:3 pbc="T T T"
Ba 0.000 0.000 0.000
Ca 2.909 2.909 2.909
Y 0.000 0.000 2.909
Y 0.000 2.909 0.000
Y 2.909 0.000 0.000
```

Computed properties:
**Energy of formation**: 0.80 eV per atom
**Total magnetic moment**: 0.0 μB/f.u.
**Energy above the lowest structure with this stoichiometry**: 113 meV per atom
**Total energy**: -3.8611 eV per atom